Pa2SeO4: optimized geometry, GGA-PBE.

Calculated values
As for the spin magnetization: 0.000 μB per cell. The calculation puts the final energy at -192.6 eV per cell. As for the crystal system: trigonal. Its raw formation energy is -3128.4 meV per atom.

a b c (Å): 3.8813 3.8813 23.2769
angles (deg): 90.00 90.00 120.00
Closest atoms and distances in Å follow each position.
Space group R-3m (No. 166, hexagonal axes)
Asymmetric unit:
Pa: 0.0000 0.0000 0.2344 [6 per cell]  7 O 2.22-2.43
Se: 0.0000 0.0000 0.0000 [3 per cell]  8 O 3.09-3.24, 6 Pa 3.21
O: 0.0000 0.0000 0.1391 [6 per cell]  4 Pa 2.22-2.43
O: 0.0000 0.0000 0.4245 [6 per cell]  3 Pa 2.25, 3 O 2.50

Pa2Se3O: optimized geometry, GGA-PBE.

Calculated values
As for the spin magnetization: 12.237 μB per cell. The calculation puts the final energy at -272.0 eV per cell. As for the crystal system: trigonal. Its raw formation energy is -1820.7 meV per atom.

a b c (Å): 7.9340 7.9340 16.2841
angles (deg): 90.00 90.00 120.00
Closest atoms and distances in Å follow each position.
Space group R-3c (No. 167, hexagonal axes)
Asymmetric unit:
Pa: 0.0000 0.0000 0.1280 [12 per cell]  1 O 2.08
Se: 0.0000 0.2780 0.2500 [18 per cell]  4 Pa 2.97-2.98, 2 O 3.19
O: 0.0000 0.0000 0.0000 [6 per cell]  2 Pa 2.08

- Number 2 is which compound?
  Pa2Se3O

- What is the formula in the second record?
  Pa2Se3O

- raw formation energy of number 2 (Pa2Se3O)?
  -1820.7 meV per atom